Here is a relaxed Pr3Sm4Ho crystal from Alexandria. Energies are from PBE.

Results
As for the total energy: -4.693 eV per atom. Its total magnetization is 0.0000 μB per atom. The value obtained for the energy above the lowest structure with this stoichiometry is 0.0000 eV/atom.

Cell lengths 11.780, 7.384, 6.377 Å; angles 90.00, 90.00, 90.00 degrees
Space group Pmn2_1 (No. 31)
One atom of each set of equivalent atoms:
Pr1 0.000 0.127 0.000
Pr2 0.250 0.125 0.333
Sm1 0.000 0.376 0.502
Sm2 0.000 0.623 0.999
Sm3 0.247 0.624 0.333
Ho1 0.000 0.873 0.498

=====

Here is a relaxed ThIn4Pd4 crystal from Alexandria. Energies are from PBE.

Results
As for the total energy: -4.729 eV per atom. Its total magnetization is 0.0000 μB per atom.

Cell lengths 8.859, 8.859, 5.384 Å; angles 90.00, 90.00, 90.00 degrees
Space group P4_2/n (No. 86, origin choice 2)
One atom of each set of equivalent atoms:
Th1 0.250 0.250 0.250
In1 0.087 0.650 0.159
Pd1 0.031 0.619 0.661

=====

Here is a relaxed Ba4LiGa crystal from Alexandria. Energies are from PBE.

Results
As for the total energy: -2.131 eV per atom. Its total magnetization is 0.0391 μB per atom. The value obtained for the energy above the lowest structure with this stoichiometry is 0.0746 eV/atom.

Cell lengths 5.9801, 5.9801, 29.2631 Å; angles 90.00, 90.00, 120.00 degrees
Space group R-3m (No. 166, hexagonal axes)
One atom of each set of equivalent atoms:
Ba1 0.0000 0.0000 0.1142
Ba2 0.0000 0.0000 0.3637
Li1 0.0000 0.0000 0.5000
Ga1 0.0000 0.0000 0.0000

=====

Here is a relaxed Na4Cd4Pb crystal from Alexandria. Energies are from PBE.

Results
As for the total energy: -1.450 eV per atom. Its total magnetization is 0.0000 μB per atom.

Cell lengths 9.797, 9.797, 5.007 Å; angles 90.00, 90.00, 90.00 degrees
Space group I4/mmm (No. 139)
One atom of each set of equivalent atoms:
Na1 0.000 0.321 0.000
Cd1 0.165 0.165 0.500
Pb1 0.000 0.000 0.000

=====

Here is a relaxed Tm4PdRu2Au crystal from Alexandria. Energies are from PBE.

Results
As for the total energy: -6.300 eV per atom. Its total magnetization is 0.0000 μB per atom.

Cell lengths 4.8426, 4.8426, 23.7486 Å; angles 90.00, 90.00, 120.00 degrees
Space group R-3m (No. 166, hexagonal axes)
One atom of each set of equivalent atoms:
Tm1 0.0000 0.0000 0.1235
Tm2 0.0000 0.0000 0.3737
Pd1 0.0000 0.0000 0.0000
Ru1 0.0000 0.0000 0.2502
Au1 0.0000 0.0000 0.5000

=====

Here is a relaxed Ac3La3Tl2Rh crystal from Alexandria. Energies are from PBE.

Results
As for the total energy: -4.720 eV per atom. Its total magnetization is 0.0001 μB per atom.

Cell lengths 9.2748, 9.2748, 4.0612 Å; angles 90.00, 90.00, 120.00 degrees
Space group P-62m (No. 189)
One atom of each set of equivalent atoms:
Ac1 0.0000 0.7590 0.0000
La1 0.0000 0.4049 0.5000
Tl1 0.3333 0.6667 0.0000
Rh1 0.0000 0.0000 0.5000

=====

Here is a relaxed BAsPd crystal from Alexandria. Energies are from PBE.

Results
As for the total energy: -5.539 eV per atom. Its total magnetization is 0.0000 μB per atom. The value obtained for the energy above the lowest structure with this stoichiometry is 0.0000 eV/atom.

Cell lengths 3.377, 4.886, 5.910 Å; angles 90.90, 104.81, 110.08 degrees
Space group P-1 (No. 2)
One atom of each set of equivalent atoms:
B1 0.069 0.165 0.446
As1 0.434 0.703 0.711
Pd1 0.306 0.210 0.854

=====

Here is a relaxed Ba3Li2Tb2Tl4 crystal from Alexandria. Energies are from PBE.

Results
As for the total energy: -2.719 eV per atom. Its total magnetization is 0.0000 μB per atom.

Cell lengths 5.3878, 5.3878, 15.4899 Å; angles 90.00, 90.00, 120.00 degrees
Space group P-3m1 (No. 164)
One atom of each set of equivalent atoms:
Ba1 0.0000 0.0000 0.0000
Ba2 0.0000 0.0000 0.2613
Li1 0.3333 0.6667 0.1505
Tb1 0.3333 0.6667 0.5687
Tl1 0.3333 0.6667 0.3709
Tl2 0.3333 0.6667 0.8598

=====

Here is a relaxed CoP2Pt crystal from Alexandria. Energies are from PBE.

Results
As for the total energy: -6.272 eV per atom. Its total magnetization is 0.0000 μB per atom. The value obtained for the energy above the lowest structure with this stoichiometry is 0.1186 eV/atom.

Cell lengths 2.9663, 2.9663, 22.5046 Å; angles 90.00, 90.00, 120.00 degrees
Space group R-3m (No. 166, hexagonal axes)
One atom of each set of equivalent atoms:
Co1 0.0000 0.0000 0.0000
P1 0.0000 0.0000 0.3975
Pt1 0.0000 0.0000 0.5000

=====

Here is a relaxed LiCu6Pd5 crystal from Alexandria. Energies are from PBE.

Results
As for the total energy: -4.530 eV per atom. Its total magnetization is 0.0000 μB per atom.

Cell lengths 4.278, 12.843, 5.921 Å; angles 90.00, 90.00, 90.00 degrees
Space group Cmmm (No. 65)
One atom of each set of equivalent atoms:
Li1 0.000 0.000 0.000
Cu1 0.000 0.165 0.248
Cu2 0.000 0.500 0.243
Pd1 0.000 0.000 0.500
Pd2 0.000 0.333 0.000
Pd3 0.000 0.335 0.500

=====

Here is a relaxed BaTi2IO8 crystal from Alexandria. Energies are from PBE.

Results
As for the total energy: -6.885 eV per atom. The calculation puts the formation energy from raw total energies at -1.97 eV/atom. Its total magnetization is 0.0000 μB per atom.

Cell lengths 8.154, 6.225, 7.291 Å; angles 90.00, 104.95, 90.00 degrees
Space group C2/m (No. 12)
One atom of each set of equivalent atoms:
Ba1 0.000 0.000 0.000
Ti1 0.063 0.500 0.228
I1 0.000 0.000 0.500
O1 0.014 0.229 0.703
O2 0.156 0.500 0.029
O3 0.247 0.000 0.558

=====

Here is a relaxed Ba2InS4 crystal from Alexandria. Energies are from PBE.

Results
As for the total energy: -4.742 eV per atom. The calculation puts the formation energy from raw total energies at -1.44 eV/atom. Its total magnetization is 0.0000 μB per atom. The value obtained for the energy above the lowest structure with this stoichiometry is 0.0000 eV/atom.

Cell lengths 6.337, 10.202, 13.201 Å; angles 104.12, 90.45, 91.00 degrees
Space group P-1 (No. 2)
One atom of each set of equivalent atoms:
Ba1 0.239 0.080 0.381
Ba2 0.254 0.621 0.476
Ba3 0.256 0.426 0.108
Ba4 0.258 0.894 0.851
In1 0.168 0.803 0.112
In2 0.320 0.206 0.697
S1 0.082 0.349 0.312
S2 0.229 0.219 0.881
S3 0.239 0.335 0.570
S4 0.245 0.039 0.115
S5 0.248 0.633 0.952
S6 0.263 0.958 0.610
S7 0.283 0.744 0.277
S8 0.415 0.348 0.313